Here is Pm2DyPO8 after structural relaxation from Alexandria via LeMat-Bulk. Energies are from PBE.

As for the uncorrected formation energy: -2.3914 eV per atom. The total energy is -87.88 eV per cell.

Cell lengths 5.2074, 5.2074, 6.2174 Å; angles 90.00, 90.00, 120.00 degrees
Space group P-3m1 (No. 164)
Symmetry-distinct sites (fractional):
1 Pm 0.3333 0.6667 0.3633 [2 per cell]
2 Dy 0.0000 0.0000 0.0000 [1 per cell]
3 P 0.0000 0.0000 0.5000 [1 per cell]
4 O 0.1529 0.3057 0.6632 [6 per cell]
5 O 0.3333 0.6667 0.0215 [2 per cell]